Entry 1:
# GGA-PBE AcPrSiNi, optimized geometry
data_AcPrSiNi
_space_group_name_H-M_alt 'F -4 3 m'
_space_group_IT_number 216
_space_group_name_Hall 'F -4 2 3'
_cell_length_a 7.407
_cell_length_b 7.407
_cell_length_c 7.407
_cell_angle_alpha 90.00
_cell_angle_beta 90.00
_cell_angle_gamma 90.00
loop_
_atom_site_label
_atom_site_type_symbol
_atom_site_fract_x
_atom_site_fract_y
_atom_site_fract_z
_atom_site_occupancy
Ac1 Ac 0.000 0.000 0.000 1
Pr1 Pr 0.000 0.000 0.500 1
Si1 Si 0.250 0.250 0.750 1
Ni1 Ni 0.250 0.250 0.250 1
# Uncorrected formation energy in eV per atom: -0.260

---

Entry 2:
# GGA-PBE AcPrSiNi, optimized geometry
data_AcPrSiNi
_space_group_name_H-M_alt 'R 3 m'
_space_group_IT_number 160
_space_group_name_Hall 'R 3 -2"'
_cell_length_a 4.0919
_cell_length_b 4.0919
_cell_length_c 23.3127
_cell_angle_alpha 90.00
_cell_angle_beta 90.00
_cell_angle_gamma 120.00
loop_
_atom_site_label
_atom_site_type_symbol
_atom_site_fract_x
_atom_site_fract_y
_atom_site_fract_z
_atom_site_occupancy
Ac1 Ac 0.0000 0.0000 0.0000 1
Pr1 Pr 0.0000 0.0000 0.8251 1
Si1 Si 0.0000 0.0000 0.5716 1
Ni1 Ni 0.0000 0.0000 0.2476 1
# Uncorrected formation energy in eV per atom: -0.474

---

Entry 3:
# GGA-PBE Ac3PrTlNi, optimized geometry
data_Ac3PrTlNi
_space_group_name_H-M_alt 'C 1 2/m 1'
_space_group_IT_number 12
_space_group_name_Hall '-C 2y'
_cell_length_a 17.127
_cell_length_b 7.590
_cell_length_c 6.692
_cell_angle_alpha 90.00
_cell_angle_beta 107.64
_cell_angle_gamma 90.00
loop_
_atom_site_label
_atom_site_type_symbol
_atom_site_fract_x
_atom_site_fract_y
_atom_site_fract_z
_atom_site_occupancy
Ac1 Ac 0.119 0.248 0.078 1
Ac2 Ac 0.186 0.000 0.617 1
Pr1 Pr 0.000 0.264 0.500 1
Tl1 Tl 0.183 0.500 0.683 1
Ni1 Ni 0.005 0.000 0.204 1
# Energy of formation from the pure elements in meV per atom: -181

---

Entry 4:
# GGA-PBE AcPrZnNi, optimized geometry
data_AcPrZnNi
_space_group_name_H-M_alt 'A m m 2'
_space_group_IT_number 38
_space_group_name_Hall 'A 2 -2'
_cell_length_a 4.510
_cell_length_b 4.024
_cell_length_c 11.790
_cell_angle_alpha 90.00
_cell_angle_beta 90.00
_cell_angle_gamma 90.00
loop_
_atom_site_label
_atom_site_type_symbol
_atom_site_fract_x
_atom_site_fract_y
_atom_site_fract_z
_atom_site_occupancy
Ac1 Ac 0.000 0.000 0.000 1
Pr1 Pr 0.500 0.000 0.272 1
Zn1 Zn 0.000 0.000 0.710 1
Ni1 Ni 0.500 0.000 0.596 1
# Energy of formation from the pure elements in meV per atom: -259

---

no.,calculated total energy (eV per atom)
1,-5.283
2,-5.497
3,-4.390
4,-4.245